{
  "formula": "Ta2TcRu",
  "functional": "PBE",
  "state": "optimized geometry",
  "cell": [[-1.416, 2.465, 4.958], [1.416, -2.465, 4.958], [1.416, 2.465, -4.958]],
  "species": ["Ta", "Ta", "Tc", "Ru"],
  "frac_coords": [[0.247, 0.247, 0.000], [0.753, 0.753, 0.000], [0.500, 0.500, 0.000], [0.000, 0.000, 0.000]],
  "space_group": "Immm, No. 71",
  "ef_ev_per_atom": 0.6100
}

=====

{
  "formula": "Ba2CaZn",
  "functional": "PBE",
  "state": "optimized geometry",
  "cell": [[2.133, 1.231, 11.795], [-2.133, 1.231, 11.795], [0.000, -2.463, 11.795]],
  "species": ["Ba", "Ba", "Ca", "Zn"],
  "frac_coords": [[0.000, 0.000, 0.000], [0.198, 0.198, 0.198], [0.433, 0.433, 0.433], [0.599, 0.599, 0.599]],
  "space_group": "R3m, No. 160",
  "ef_ev_per_atom": 0.0506
}

=====

{
  "formula": "LiLaNdSbO6",
  "functional": "PBE",
  "state": "optimized geometry",
  "cell": [[5.606, 0.000, 0.000], [0.020, 5.846, 0.000], [0.096, 0.006, 8.008]],
  "species": ["Li", "Li", "La", "La", "Nd", "Nd", "Sb", "Sb", "O", "O", "O", "O", "O", "O", "O", "O", "O", "O", "O", "O"],
  "frac_coords": [[0.000, 0.000, 0.000], [0.500, 0.500, 0.500], [0.016, 0.443, 0.752], [0.984, 0.557, 0.248], [0.483, 0.940, 0.749], [0.517, 0.060, 0.251], [0.000, 0.000, 0.500], [0.500, 0.500, 0.000], [0.107, 0.965, 0.261], [0.189, 0.717, 0.558], [0.211, 0.691, 0.951], [0.290, 0.187, 0.551], [0.317, 0.213, 0.943], [0.401, 0.461, 0.240], [0.599, 0.539, 0.760], [0.683, 0.787, 0.057], [0.710, 0.813, 0.449], [0.789, 0.309, 0.049], [0.811, 0.283, 0.442], [0.893, 0.035, 0.739]],
  "raw_formation_energy_kcal_per_mol_atoms": -60.293,
  "space_group": "P-1, No. 2"
}

=====

Let's list E in order: -40.9; -6.9; -143.3 eV per cell.